Record 1
PBE Li2CdAgI6, optimized geometry; crystal system = monoclinic; ΔE_f (raw) = -0.65 eV per atom; symmetry = C2/c
1.0
6.596 0.530 0.550
2.823 12.045 -0.899
2.823 -1.345 12.003
Ag Cd I Li
2 2 12 4
direct
0.750 0.194 0.806
0.250 0.806 0.194
0.250 0.185 0.815
0.750 0.815 0.185
0.109 0.990 0.804
0.609 0.804 0.990
0.369 0.867 0.391
0.797 0.364 0.361
0.891 0.010 0.196
0.203 0.636 0.639
0.631 0.133 0.609
0.131 0.609 0.133
0.391 0.196 0.010
0.869 0.391 0.867
0.703 0.639 0.636
0.297 0.361 0.364
0.636 0.184 0.393
0.364 0.816 0.607
0.136 0.393 0.184
0.864 0.607 0.816

Record 2
PBE Tm2NiTe, optimized geometry; crystal system = trigonal; ΔE_f (raw) = -0.78 eV per atom; E above lowest polymorph = 50.4 meV/atom; symmetry = R-3m
1.0
3.998 0.000 0.000
1.999 3.462 0.000
1.999 1.154 7.149
Tm Te Ni
2 1 1
direct
0.265 0.265 0.205
0.735 0.735 0.795
0.500 0.500 0.500
0.000 0.000 0.000

Record 3
PBE Fe5Ni6Rh2, optimized geometry; crystal system = orthorhombic; raw total energy = -6.998 eV/atom; symmetry = Pbam
1.0
-2.113 1.019 -1.087
-4.109 -0.635 7.395
4.495 13.193 3.630
Ni Rh Fe
12 4 10
direct
0.000 0.066 0.365
0.000 0.940 0.924
0.000 0.560 0.424
0.500 0.691 0.884
0.000 0.060 0.076
0.000 0.440 0.576
0.500 0.309 0.116
0.000 0.934 0.635
0.000 0.434 0.865
0.500 0.191 0.616
0.500 0.809 0.384
0.000 0.566 0.135
0.000 0.336 0.281
0.000 0.664 0.719
0.000 0.836 0.219
0.000 0.164 0.781
0.500 0.704 0.554
0.500 0.296 0.446
0.500 0.500 0.000
0.500 0.908 0.779
0.500 0.408 0.721
0.500 0.592 0.279
0.500 0.000 0.500
0.500 0.796 0.054
0.500 0.092 0.221
0.500 0.204 0.946

Record 4
PBE Na3InHg3, optimized geometry; crystal system = orthorhombic; E above lowest polymorph = 0.0 meV/atom; symmetry = Cmcm
1.0
4.662 0.000 0.000
-2.331 5.653 0.000
0.000 0.000 15.059
Hg Na In
6 6 2
direct
0.723 0.446 0.750
0.100 0.200 0.398
0.900 0.800 0.602
0.900 0.800 0.898
0.100 0.200 0.102
0.277 0.554 0.250
0.547 0.093 0.250
0.453 0.907 0.750
0.193 0.386 0.601
0.807 0.614 0.399
0.807 0.614 0.101
0.193 0.386 0.899
0.500 0.000 0.500
0.500 0.000 0.000

Record 5
PBE Pm4SiTeS2, optimized geometry; crystal system = monoclinic; ΔE_f (raw) = -1.56 eV per atom; symmetry = P2/m
1.0
-2.594 -1.413 -2.969
5.124 1.017 -4.961
4.068 -6.164 -0.620
Pm S Te Si
4 2 1 1
direct
0.500 0.244 0.737
0.500 0.756 0.263
0.000 0.768 0.723
0.000 0.232 0.277
0.500 0.000 0.500
0.000 0.000 0.000
0.500 0.500 0.000
0.000 0.500 0.500

Record 6
PBE Sc2MnP, optimized geometry; crystal system = trigonal; raw total energy = -7.209 eV/atom; symmetry = R-3m
1.0
-7.611 -0.903 -1.260
-6.672 -3.972 0.195
-7.342 -1.183 2.242
Mn P Sc
1 1 2
direct
0.500 0.500 0.500
0.000 0.000 0.000
0.264 0.264 0.264
0.736 0.736 0.736

Record 7
PBE SrLa6OsI12, optimized geometry; crystal system = trigonal; ΔE_f (raw) = -1.39 eV per atom; symmetry = R-3
1.0
-4.791 -8.895 -1.389
5.208 -0.857 8.727
-7.265 6.967 1.645
I La Os Sr
12 6 1 1
direct
0.457 0.149 0.374
0.776 0.928 0.322
0.626 0.543 0.851
0.543 0.851 0.626
0.149 0.374 0.457
0.928 0.322 0.776
0.374 0.457 0.149
0.322 0.776 0.928
0.851 0.626 0.543
0.072 0.678 0.224
0.678 0.224 0.072
0.224 0.072 0.678
0.698 0.900 0.978
0.900 0.978 0.698
0.022 0.302 0.100
0.978 0.698 0.900
0.100 0.022 0.302
0.302 0.100 0.022
0.000 0.000 0.000
0.500 0.500 0.500

Record 8
PBE HoPaIrO6, optimized geometry; crystal system = trigonal; ΔE_f (raw) = -2.57 eV per atom; symmetry = P-31c
1.0
5.397 0.000 0.000
-2.698 4.674 0.000
0.000 0.000 9.966
O Ir Pa Ho
12 2 2 2
direct
0.024 0.670 0.866
0.024 0.354 0.634
0.646 0.976 0.866
0.670 0.646 0.134
0.330 0.354 0.866
0.354 0.330 0.366
0.354 0.024 0.134
0.670 0.024 0.366
0.976 0.330 0.134
0.330 0.976 0.634
0.976 0.646 0.366
0.646 0.670 0.634
0.667 0.333 0.250
0.333 0.667 0.750
0.333 0.667 0.250
0.667 0.333 0.750
0.000 0.000 0.000
0.000 0.000 0.500

Record 9
PBE LaNi, optimized geometry; crystal system = tetragonal; raw total energy = -5.520 eV/atom; symmetry = P4/mmm
1.0
10.767 0.000 0.000
0.000 10.767 0.000
0.000 0.000 4.018
Ni La
8 8
direct
0.221 0.500 0.000
0.500 0.108 0.500
0.500 0.892 0.500
0.500 0.221 0.000
0.779 0.500 0.000
0.108 0.500 0.500
0.892 0.500 0.500
0.500 0.779 0.000
0.000 0.324 0.000
0.327 0.327 0.500
0.324 0.000 0.000
0.673 0.673 0.500
0.000 0.676 0.000
0.673 0.327 0.500
0.327 0.673 0.500
0.676 0.000 0.000

Record 10
PBE Sm2InN, optimized geometry; crystal system = tetragonal; ΔE_f (raw) = -0.49 eV per atom; symmetry = P4/mmm
1.0
3.174 0.000 0.000
0.000 3.174 0.000
0.000 0.000 8.162
Sm N In
2 1 1
direct
0.000 0.000 0.180
0.000 0.000 0.820
0.500 0.500 0.000
0.500 0.500 0.500

Record 11
PBE NaMoOs2, optimized geometry; crystal system = cubic; E above lowest polymorph = 0.0 meV/atom; symmetry = Fm-3m
1.0
0.000 3.119 3.119
3.119 0.000 3.119
3.119 3.119 0.000
Mo Os Na
1 2 1
direct
0.500 0.500 0.500
0.250 0.250 0.250
0.750 0.750 0.750
0.000 0.000 0.000

Record 12
PBE NdTmBi2, optimized geometry; crystal system = trigonal; E above lowest polymorph = 113.4 meV/atom; symmetry = R3m
1.0
-2.420 3.593 1.192
-4.149 0.556 -1.632
-5.056 -2.524 5.808
Bi Nd Tm
2 1 1
direct
0.085 0.085 0.744
0.248 0.248 0.257
0.669 0.669 0.994
0.498 0.498 0.506

Question: Number 11 is which compound?
Answer: NaMoOs2